DFT (GGA+U) results for a relaxed RbNbVO4 crystal.

Cell lengths 5.7058, 5.8085, 8.4053 Å; angles 90.00, 108.19, 90.00 degrees
With the nearest neighbours (Å) after each atom.
Space group P2_1/m (No. 11)
Symmetry-distinct sites (fractional):
Rb 0.1302 0.2500 0.1449 x2  4 O 2.80-2.90
Nb 0.2253 0.2500 0.6421 x2  4 O 1.86-1.91
V 0.3273 0.7500 0.4668 x2  5 O 2.16-2.27
O 0.0171 0.7500 0.5667 x2  1 Nb 1.86
O 0.0271 0.2500 0.7848 x2  1 Nb 1.89
O 0.4636 0.0128 0.6557 x4  1 Nb 1.91

Summary:
M_tot (Bohr magnetons per cell): 6.00
VASP energy (eV/atom): -7.498